Computed, not measured: ZrScCd after structural relaxation at the PBE level of DFT.

Summary:
- D(E_F) (states/eV/cell) = 3.6
- space-group type = F-43m (216)
- ρ (g cm⁻³) = 5.3
- crystal system = cubic
- ΔE to the lowest computed polymorph (meV/atom) = 545
- energy of formation from the pure elements (meV/atom) = 362

```
ZrScCd
1.0
-1.4178 -4.2061 1.8355
1.0965 -4.0964 -2.2556
3.2310 -3.0002 1.9053
Sc Cd Zr
1 1 1
Cartesian
0.0000 0.0000 0.0000
0.7274 -2.8257 0.3713
1.4548 -5.6514 0.7426
```

***

Computed, not measured: Zr2ScCd2 after structural relaxation at the PBE level of DFT.

Summary:
- D(E_F) (states/eV/cell) = 10.1
- space-group type = P2_1/m (11)
- ρ (g cm⁻³) = 6.8
- crystal system = monoclinic
- ΔE to the lowest computed polymorph (meV/atom) = 0
- energy of formation from the pure elements (meV/atom) = -138

```
Zr2ScCd2
1.0
3.1916 0.0000 -0.4287
0.0000 5.0695 0.0000
0.2031 0.0000 13.6754
Sc Zr Cd
2 4 4
Cartesian
2.8109 3.8021 8.8924
0.5838 1.2674 4.3543
3.2677 1.2674 12.2711
0.8429 3.8021 6.3187
2.5518 1.2674 6.9280
0.1270 3.8021 0.9756
1.8246 1.2674 1.4952
1.3207 1.2674 9.8832
1.5701 3.8021 11.7515
2.0740 3.8021 3.3636
```